TlSi2Mo at its PBEsol-relaxed geometry, computed with SCAN.

- uncorrected formation energy (meV/atom) = 658

Geometry as CIF:
```
data_TlSi2Mo
_symmetry_space_group_name_H-M 'I -4 2 d'
_symmetry_Int_Tables_number 122
_symmetry_space_group_name_Hall 'I -4 2bw'
_cell_length_a 4.210
_cell_length_b 4.210
_cell_length_c 16.999
_cell_angle_alpha 90.00
_cell_angle_beta 90.00
_cell_angle_gamma 90.00
loop_
_atom_site_label
_atom_site_fract_x
_atom_site_fract_y
_atom_site_fract_z
Tl1 0.000 0.000 0.000
Si1 0.160 0.250 0.625
Mo1 0.000 0.000 0.500
```

K4ZrNi at its PBEsol-relaxed geometry, computed with SCAN.

- E (eV/atom) = -12.07

Geometry as CIF:
```
data_K4ZrNi
_symmetry_space_group_name_H-M 'F -4 3 m'
_symmetry_Int_Tables_number 216
_symmetry_space_group_name_Hall 'F -4 2 3'
_cell_length_a 9.640
_cell_length_b 9.640
_cell_length_c 9.640
_cell_angle_alpha 90.00
_cell_angle_beta 90.00
_cell_angle_gamma 90.00
loop_
_atom_site_label
_atom_site_fract_x
_atom_site_fract_y
_atom_site_fract_z
K1 0.124 0.124 0.124
Zr1 0.000 0.000 0.500
Ni1 0.250 0.250 0.750
```

Number 1: calculated volume 18.84 Å³ per atom. Number 2: calculated volume 37.33 Å³ per atom.